No. 1
An optimized crystal structure of Ac2LaHfN4. Source: Alexandria via LeMat-Bulk, functional PBE.

Cell and atoms, written as extended XYZ:
```
16
Lattice="-3.626 3.698 5.204 3.626 -3.698 5.204 3.626 3.698 -5.204" Properties=species:S:1:pos:R:3 pbc="T T T"
Ac 0.000 0.000 0.000
Ac -1.813 1.849 2.602
Ac 0.000 3.698 0.000
Ac 1.813 1.849 2.602
La 3.626 0.000 0.000
La 0.000 0.000 5.204
Hf 1.813 1.849 -2.602
Hf 1.813 -1.849 2.602
N 3.626 -0.261 2.576
N 3.626 3.437 -2.576
N 1.863 1.849 -0.335
N 5.389 1.849 -0.335
N -1.763 1.849 5.539
N 1.763 1.849 5.539
N 0.000 0.261 7.781
N 0.000 3.959 2.628
```

Output
- magnetic moment (μB per formula unit) = 0.0
- energy relative to the elements, uncorrected (eV/atom) = -1.217
- V (Å³/cell) = 279.1

=====

No. 2
An optimized crystal structure of LiAcHf. Source: Alexandria via LeMat-Bulk, functional PBE.

Cell and atoms, written as extended XYZ:
```
6
Lattice="3.840 0.000 0.000 0.000 3.956 0.000 0.000 0.000 11.665" Properties=species:S:1:pos:R:3 pbc="T T T"
Li 0.960 0.989 0.633
Li 2.880 2.967 11.032
Ac 0.960 0.989 8.643
Ac 2.880 2.967 3.022
Hf 0.960 0.989 5.213
Hf 2.880 2.967 6.452
```

Output
- ΔH_f (0 K) (eV/atom) = 0.174
- magnetic moment (μB per formula unit) = 0.0
- V (Å³/cell) = 177.2

=====

No. 3
An optimized crystal structure of LiAc3Hf2O9. Source: Alexandria via LeMat-Bulk, functional PBE.

Cell and atoms, written as extended XYZ:
```
15
Lattice="5.793 0.000 0.000 -2.896 5.017 0.000 0.000 0.000 7.199" Properties=species:S:1:pos:R:3 pbc="T T T"
Li 0.000 0.000 0.000
Ac 0.000 0.000 3.600
Ac 0.000 3.344 1.002
Ac 2.896 1.672 6.197
Hf 0.000 3.344 4.847
Hf 2.896 1.672 2.352
O -1.448 2.508 3.600
O 0.000 1.687 5.997
O -1.435 4.173 5.997
O 1.461 0.844 1.202
O 2.896 0.000 3.600
O 1.448 2.508 3.600
O 1.435 4.173 5.997
O 4.331 0.844 1.202
O 2.896 3.329 1.202
```

Output
- magnetic moment (μB per formula unit) = 0.0
- energy relative to the elements, uncorrected (eV/atom) = -3.240
- V (Å³/cell) = 209.2